A plane-wave DFT calculation with GGA-PBEsol was carried out for a geometry-optimized Tb2MgSe4 structure.

## Properties
crystal system = orthorhombic
total magnetization = 0.00 μB/cell
space-group type = No. 62
energy relative to the elements, uncorrected = -1.64 eV/atom
ΔE to the lowest computed polymorph = 34.3 meV per atom

a = 13.0356 Å, b = 3.9797 Å, c = 13.8355 Å
α = 90.00°, β = 90.00°, γ = 90.00°
Last column: nearest neighbours and their distance in Å.
Positions (direct):
Tb 0.1155 0.2500 0.0761  6 Se 2.81-2.90
Tb 0.1414 0.2500 0.7027  6 Se 2.76-2.92
Tb 0.3586 0.7500 0.2027  6 Se 2.76-2.92
Tb 0.3845 0.7500 0.5761  6 Se 2.81-2.90
Tb 0.6155 0.2500 0.4239  6 Se 2.81-2.90
Tb 0.6414 0.2500 0.7973  6 Se 2.76-2.92
Tb 0.8586 0.7500 0.2973  6 Se 2.76-2.92
Tb 0.8845 0.7500 0.9239  6 Se 2.81-2.90
Mg 0.1126 0.7500 0.4525  5 Se 2.66-2.73
Mg 0.3874 0.2500 0.9525  5 Se 2.66-2.73
Mg 0.6126 0.7500 0.0475  5 Se 2.66-2.73
Mg 0.8874 0.2500 0.5475  5 Se 2.66-2.73
Se 0.0082 0.7500 0.6177  3 Mg 2.66-2.72, 2 Tb 2.89
Se 0.0310 0.2500 0.8820  4 Tb 2.82-2.90
Se 0.2221 0.2500 0.2527  3 Tb 2.76-2.81
Se 0.2409 0.2500 0.5133  2 Mg 2.73, 3 Tb 2.87-2.92
Se 0.2591 0.7500 0.0133  2 Mg 2.73, 3 Tb 2.87-2.92
Se 0.2779 0.7500 0.7527  3 Tb 2.76-2.81
Se 0.4690 0.7500 0.3820  4 Tb 2.82-2.90
Se 0.4918 0.2500 0.1177  3 Mg 2.66-2.72, 2 Tb 2.89
Se 0.5082 0.7500 0.8823  3 Mg 2.66-2.72, 2 Tb 2.89
Se 0.5310 0.2500 0.6180  4 Tb 2.82-2.90
Se 0.7221 0.2500 0.2473  3 Tb 2.76-2.81
Se 0.7409 0.2500 0.9867  2 Mg 2.73, 3 Tb 2.87-2.92
Se 0.7591 0.7500 0.4867  2 Mg 2.73, 3 Tb 2.87-2.92
Se 0.7779 0.7500 0.7473  3 Tb 2.76-2.81
Se 0.9690 0.7500 0.1180  4 Tb 2.82-2.90
Se 0.9918 0.2500 0.3823  3 Mg 2.66-2.72, 2 Tb 2.89

***

A plane-wave DFT calculation with GGA-PBEsol was carried out for a geometry-optimized Tb2MgSe4 structure.

## Properties
crystal system = tetragonal
N(E_F) = 0.0 states/eV/cell
total magnetization = 0.00 μB/cell
space-group type = No. 122
energy relative to the elements, uncorrected = -1.66 eV/atom
ΔE to the lowest computed polymorph = 8.2 meV per atom

a = 7.4052 Å, b = 7.4052 Å, c = 7.4052 Å
α = 110.62°, β = 110.62°, γ = 107.19°
Last column: nearest neighbours and their distance in Å.
Positions (direct):
Tb 0.0002 0.6250 0.8752  8 Se 2.81-3.12
Tb 0.3750 0.2502 0.3752  8 Se 2.81-3.12
Tb 0.7498 0.1250 0.1248  8 Se 2.81-3.12
Tb 0.8750 0.9998 0.6248  8 Se 2.81-3.12
Mg 0.2500 0.7500 0.5000  4 Se 2.72
Mg 0.5000 0.5000 0.0000  4 Se 2.72
Se 0.1236 0.3839 0.1211  1 Mg 2.72, 2 Tb 2.81-2.88
Se 0.1339 0.3736 0.6211  1 Mg 2.72, 2 Tb 2.81-2.88
Se 0.2628 0.0025 0.8789  1 Mg 2.72, 2 Tb 2.81-2.88
Se 0.4872 0.8661 0.2397  1 Mg 2.72, 2 Tb 2.81-2.88
Se 0.6161 0.7372 0.7397  1 Mg 2.72, 2 Tb 2.81-2.88
Se 0.6264 0.2475 0.7603  1 Mg 2.72, 2 Tb 2.81-2.88
Se 0.7525 0.5128 0.3789  1 Mg 2.72, 2 Tb 2.81-2.88
Se 0.9975 0.8764 0.2603  1 Mg 2.72, 2 Tb 2.81-2.88

***

A plane-wave DFT calculation with GGA-PBEsol was carried out for a geometry-optimized MgTcSe structure.

## Properties
crystal system = trigonal
N(E_F) = 1.4 states/eV/cell
total magnetization = 0.00 μB/cell
space-group type = No. 156
energy relative to the elements, uncorrected = -0.17 eV/atom

a = 3.1554 Å, b = 3.1554 Å, c = 6.1645 Å
α = 90.00°, β = 90.00°, γ = 120.00°
Last column: nearest neighbours and their distance in Å.
Positions (direct):
Mg 0.0000 0.0000 0.0000  3 Tc 2.79, 3 Se 3.06
Tc 0.3333 0.6667 0.3431  3 Se 2.41
Se 0.6667 0.3333 0.6003  3 Tc 2.41

***

A plane-wave DFT calculation with GGA-PBEsol was carried out for a geometry-optimized MgTcSe2 structure.

## Properties
crystal system = trigonal
N(E_F) = 9.5 states/eV/cell
total magnetization = 0.00 μB/cell
space-group type = No. 166
energy relative to the elements, uncorrected = 0.16 eV/atom

a = 3.2553 Å, b = 3.2553 Å, c = 24.8913 Å
α = 90.00°, β = 90.00°, γ = 120.00°
Last column: nearest neighbours and their distance in Å.
Positions (direct):
Mg 0.0000 0.0000 0.0000  6 Se 2.61
Mg 0.3333 0.6667 0.6667  6 Se 2.61
Mg 0.6667 0.3333 0.3333  6 Se 2.61
Tc 0.0000 0.0000 0.5000  2 Se 2.34
Tc 0.3333 0.6667 0.1667  2 Se 2.34
Tc 0.6667 0.3333 0.8333  2 Se 2.34
Se 0.0000 0.0000 0.4059  1 Tc 2.34, 3 Mg 2.61
Se 0.0000 0.0000 0.5941  1 Tc 2.34, 3 Mg 2.61
Se 0.3333 0.6667 0.0725  1 Tc 2.34, 3 Mg 2.61
Se 0.3333 0.6667 0.2608  1 Tc 2.34, 3 Mg 2.61
Se 0.6667 0.3333 0.7392  1 Tc 2.34, 3 Mg 2.61
Se 0.6667 0.3333 0.9275  1 Tc 2.34, 3 Mg 2.61

***

A plane-wave DFT calculation with GGA-PBEsol was carried out for a geometry-optimized MgTcSe2 structure.

## Properties
crystal system = tetragonal
N(E_F) = 3.1 states/eV/cell
total magnetization = 0.00 μB/cell
space-group type = No. 123
energy relative to the elements, uncorrected = -0.18 eV/atom

a = 3.1554 Å, b = 3.1554 Å, c = 6.7346 Å
α = 90.00°, β = 90.00°, γ = 90.00°
Last column: nearest neighbours and their distance in Å.
Positions (direct):
Mg 0.0000 0.0000 0.0000  8 Se 2.91, 4 Mg 3.16
Tc 0.0000 0.0000 0.5000  8 Se 2.69
Se 0.5000 0.5000 0.2770  4 Tc 2.69, 4 Mg 2.91, 1 Se 3.00
Se 0.5000 0.5000 0.7230  4 Tc 2.69, 4 Mg 2.91, 1 Se 3.00

***

A plane-wave DFT calculation with GGA-PBEsol was carried out for a geometry-optimized Mg2TeSe structure.

## Properties
crystal system = trigonal
total magnetization = 0.00 μB/cell
space-group type = No. 166
energy relative to the elements, uncorrected = -1.01 eV/atom
ΔE to the lowest computed polymorph = 0.0 meV per atom

a = 4.0209 Å, b = 4.0209 Å, c = 19.7121 Å
α = 90.00°, β = 90.00°, γ = 120.00°
Last column: nearest neighbours and their distance in Å.
Positions (direct):
Mg 0.0000 0.0000 0.2443  3 Se 2.78, 3 Te 2.91
Mg 0.0000 0.0000 0.7557  3 Se 2.78, 3 Te 2.91
Mg 0.3333 0.6667 0.4223  3 Se 2.78, 3 Te 2.91
Mg 0.3333 0.6667 0.9110  3 Se 2.78, 3 Te 2.91
Mg 0.6667 0.3333 0.0890  3 Se 2.78, 3 Te 2.91
Mg 0.6667 0.3333 0.5777  3 Se 2.78, 3 Te 2.91
Te 0.0000 0.0000 0.0000  6 Mg 2.91
Te 0.3333 0.6667 0.6667  6 Mg 2.91
Te 0.6667 0.3333 0.3333  6 Mg 2.91
Se 0.0000 0.0000 0.5000  6 Mg 2.78
Se 0.3333 0.6667 0.1667  6 Mg 2.78
Se 0.6667 0.3333 0.8333  6 Mg 2.78